The following is a GGA-PBEsol calculation of Y2CuGeO after structural relaxation, from the Alexandria database.

Cell and atoms, written as POSCAR:
```
Y2CuGeO
1.0
4.196 0.000 0.000
0.000 4.628 0.000
0.000 0.000 4.628
Ge O Y Cu
1 1 2 1
Cartesian
2.098 0.000 0.000
0.000 0.000 0.000
0.000 0.000 2.314
0.000 2.314 0.000
2.098 2.314 2.314
```

Computed properties:
**Formation energy from raw total energies**: -23.76 kcal/mol of atoms
**Space-group type**: No. 123
**N(E_F)**: 0.66 states/eV/atom